Record 1
# RbScI2

An optimized crystal structure of RbScI2 (PBE-GGA, Alexandria).

Cell: 5.797 5.797 5.797 Å, 60.00 60.00 60.00°
Positions (direct):
Rb 0.500 0.500 0.500
I 0.250 0.250 0.250
I 0.750 0.750 0.750
Sc 0.000 0.000 0.000

total magnetization: 0.50 μB/atom
formation energy without anion corrections: -0.565 eV/atom
SG: No. 225
E above lowest polymorph: 0.232 eV per atom

***

Record 2
# Rb5Sc2I12

An optimized crystal structure of Rb5Sc2I12 (PBE-GGA, Alexandria).

Cell: 8.416 11.051 11.958 Å, 105.39 90.00 112.38°
Positions (direct):
I 0.106 0.709 0.926
I 0.106 0.701 0.418
I 0.405 0.299 0.582
I 0.999 0.998 0.170
I 0.397 0.291 0.074
I 0.501 0.001 0.827
I 0.603 0.709 0.926
I 0.894 0.291 0.074
I 0.595 0.701 0.418
I 0.001 0.002 0.830
I 0.894 0.299 0.582
I 0.499 0.999 0.173
Rb 0.000 0.000 0.500
Rb 0.305 0.610 0.644
Rb 0.694 0.388 0.846
Rb 0.306 0.612 0.154
Rb 0.695 0.390 0.356
Sc 0.249 0.000 0.000
Sc 0.751 0.000 0.000

total magnetization: 0.03 μB/atom
formation energy without anion corrections: -1.258 eV/atom
SG: No. 12